Record 1
Here is a relaxed ZrCuGeIr crystal from OQMD via LeMat-Bulk. Energies are from PBE.

Crystal system: cubic
Space group: No. 216
V, Å³/cell: 62
Energy above the lowest structure with this stoichiometry, meV per atom: 49
Spin magnetization, μB/atom: 0.00
Total DFT energy (no corrections), eV/atom: -6.811

Lattice parameters (Å, degrees): 4.446 4.446 4.446 60.00 60.00 60.00
Atoms (fractional coordinates):
Cu: 0.750 0.750 0.750
Ge: 0.250 0.250 0.250
Ir: 0.500 0.500 0.500
Zr: 0.000 0.000 0.000



Record 2
Here is a relaxed NdGdAu2 crystal from OQMD via LeMat-Bulk. Energies are from PBE.

Calculated formation energy, eV per atom: -0.84
Crystal system: monoclinic
Space group: No. 11
V, Å³/cell: 202
Energy above the lowest structure with this stoichiometry, meV per atom: 3
Spin magnetization, μB/atom: 0.00
Total DFT energy (no corrections), eV/atom: -4.824

Lattice parameters (Å, degrees): 5.770 4.769 7.357 90.00 91.58 90.00
Atoms (fractional coordinates):
Au: 0.157 0.250 0.964
Au: 0.843 0.750 0.036
Au: 0.647 0.750 0.545
Au: 0.353 0.250 0.455
Nd: 0.146 0.750 0.688
Nd: 0.854 0.250 0.312
Gd: 0.643 0.250 0.817
Gd: 0.357 0.750 0.183



Record 3
Here is a relaxed TaCoSi2 crystal from OQMD via LeMat-Bulk. Energies are from PBE.

Crystal system: cubic
Space group: No. 216
V, Å³/cell: 55
Spin magnetization, μB/atom: 0.06
Total DFT energy (no corrections), eV/atom: -7.327

Lattice parameters (Å, degrees): 4.273 4.273 4.273 60.00 60.00 60.00
Atoms (fractional coordinates):
Si: 0.000 0.000 0.000
Si: 0.750 0.750 0.750
Ta: 0.500 0.500 0.500
Co: 0.250 0.250 0.250



Record 4
Here is a relaxed ZrInB4 crystal from OQMD via LeMat-Bulk. Energies are from PBE.

Crystal system: hexagonal
Space group: No. 191
V, Å³/cell: 68
Spin magnetization, μB/atom: 0.00
Total DFT energy (no corrections), eV/atom: -6.464

Lattice parameters (Å, degrees): 3.155 3.155 7.883 90.00 90.00 120.00
Atoms (fractional coordinates):
B: 0.667 0.333 0.723
B: 0.333 0.667 0.723
B: 0.333 0.667 0.277
B: 0.667 0.333 0.277
Zr: 0.000 0.000 0.500
In: 0.000 0.000 0.000



Record 5
Here is a relaxed TaFeSiAu crystal from OQMD via LeMat-Bulk. Energies are from PBE.

Crystal system: cubic
Space group: No. 216
V, Å³/cell: 61
Energy above the lowest structure with this stoichiometry, meV per atom: 0
Spin magnetization, μB/atom: 0.42
Total DFT energy (no corrections), eV/atom: -7.108

Lattice parameters (Å, degrees): 4.415 4.415 4.415 60.00 60.00 60.00
Atoms (fractional coordinates):
Fe: 0.750 0.750 0.750
Ta: 0.250 0.250 0.250
Au: 0.500 0.500 0.500
Si: 0.000 0.000 0.000



Record 6
Here is a relaxed NaTmPdSe3 crystal from OQMD via LeMat-Bulk. Energies are from PBE.

Crystal system: orthorhombic
Space group: No. 63
V, Å³/cell: 289
Spin magnetization, μB/atom: 0.00
Total DFT energy (no corrections), eV/atom: -4.656

Lattice parameters (Å, degrees): 7.537 7.537 10.012 90.00 90.00 149.46
Atoms (fractional coordinates):
Tm: 0.000 0.000 0.500
Tm: 0.000 0.000 0.000
Se: 0.631 0.369 0.927
Se: 0.631 0.369 0.573
Se: 0.100 0.900 0.250
Se: 0.369 0.631 0.073
Se: 0.900 0.100 0.750
Se: 0.369 0.631 0.427
Na: 0.233 0.767 0.750
Na: 0.767 0.233 0.250
Pd: 0.509 0.491 0.750
Pd: 0.491 0.509 0.250



> Which of these has the highest V?

NaTmPdSe3



> Look up the spin magnetization of the first one.

0.00 μB/atom



> What is the formula in the first record?

ZrCuGeIr